NbAgAsSe2 | SCAN | PBEsol geometry

Summary:
ρ, g/cm3: 5.8
Formation energy without anion corrections, eV/atom: 0.18

Cell lengths 4.9537, 4.9537, 5.0162 Å; angles 90.00, 90.00, 90.00 degrees
Space group P4/mmm (No. 123)
Asymmetric unit:
Nb 0.0000 0.0000 0.0000 [1 per cell]
Ag 0.5000 0.5000 0.5000 [1 per cell]
As 0.0000 0.0000 0.5000 [1 per cell]
Se 0.0000 0.5000 0.0000 [2 per cell]

NdAgAs2 | SCAN | PBEsol geometry

Summary:
ρ, g/cm3: 8.0
Energy relative to the elements, meV/atom: -888

Cell lengths 20.7562, 4.0112, 4.0266 Å; angles 90.00, 90.00, 90.00 degrees
Space group Pnma (No. 62)
Asymmetric unit:
Nd 0.1159 0.2500 0.2277 [4 per cell]
Ag 0.2501 0.2500 0.7260 [4 per cell]
As 0.0011 0.2500 0.7104 [4 per cell]
As 0.1614 0.7500 0.7268 [4 per cell]

Short version: calculated total energy = -24.79 -29.72 eV per atom, in the order given.